First-principles (PBE-GGA) data for Pu5URu6 after structural relaxation, as listed in Alexandria.

```
Pu5URu6
1.0
-2.363 3.569 6.835
2.363 -3.569 6.835
2.363 3.569 -6.835
Pu U Ru
5 1 6
direct
0.000 0.000 0.000
0.152 0.652 0.500
0.318 0.318 0.000
0.682 0.682 0.000
0.848 0.348 0.500
0.500 0.000 0.500
0.120 0.838 0.282
0.283 0.500 0.783
0.444 0.162 0.282
0.556 0.838 0.718
0.717 0.500 0.217
0.880 0.162 0.718
```

* energy of formation: -117 meV per atom
* M_tot: 13.7 μB/f.u.
* SG: Immm (71)
* calculated volume: 19.214 Å³ per atom